The following is a PBE-GGA calculation of crystalline La2DyYAs4 at its relaxed geometry, from Alexandria.

Calculated values
Magnetization, μB/f.u.: 0.00
D(E_F), states/eV/f.u.: 0.77
ΔE_f, meV/atom: -1552
V, Å³/f.u.: 216.99

a = 7.3513 Å, b = 4.2530 Å, c = 7.3621 Å
α = 90.00°, β = 109.49°, γ = 90.00°
Last column: nearest neighbours and their distance in Å.
Space group P2/m (No. 10)
One atom of each set of equivalent atoms:
La  0.0000  0.0000  0.0000  6 As 3.06
La  0.0000  0.5000  0.5000  6 As 3.06
Dy  0.5000  0.0000  0.5000  6 As 2.95
Y  0.5000  0.5000  0.0000  6 As 2.95-2.96
As  0.2629  0.0000  0.7540  1 Dy 2.95, 2 Y 2.96, 3 La 3.06
As  0.2631  0.5000  0.2546  2 Dy 2.95, 1 Y 2.95, 3 La 3.06